1.
The following is a PBEsol calculation of a relaxed Li2ZrF6 crystal, from Alexandria.

Cell: 5.123 6.336 6.336 Å, 75.40 71.51 71.51°
Fractional positions:
Li 0.399 0.707 0.869
F 0.850 0.571 0.670
F 0.447 0.369 0.886
F 0.500 0.998 0.749
Zr 0.750 0.680 0.320
F 0.053 0.114 0.631
F 0.000 0.749 0.998
Zr 0.250 0.320 0.680
Li 0.899 0.869 0.707
F 0.000 0.251 0.002
F 0.500 0.002 0.251
Li 0.101 0.131 0.293
F 0.650 0.330 0.429
Li 0.601 0.293 0.131
F 0.947 0.886 0.369
F 0.553 0.631 0.114
F 0.150 0.429 0.330
F 0.350 0.670 0.571

Results
Its energy above the most stable polymorph in this dataset is 0.37 eV/f.u. Its formation energy (no corrections) is -3.41 eV/atom. Its crystal system is monoclinic.

2.
The following is a PBEsol calculation of a relaxed BaP2RuAu crystal, from Alexandria.

Cell: 4.755 4.755 5.735 Å, 90.00 90.00 90.00°
Last column: magnetic moment on the atom in μB.
Fractional positions:
Ru 0.500 0.500 0.500  2.06
P 0.500 0.000 0.000  0.02
Au 0.000 0.000 0.000  0.00
Ba 0.000 0.000 0.500  -0.04
P 0.000 0.500 0.000  0.02

Results
As for the formation energy: 115.26 kJ/mol of atoms. Its crystal system is tetragonal.

3.
The following is a PBEsol calculation of a relaxed Tb2Sn2O7 crystal, from Alexandria.

Cell: 7.353 7.353 7.353 Å, 60.00 60.00 60.00°
Fractional positions:
O 0.286 0.714 0.714
O 0.714 0.286 0.286
O 0.714 0.286 0.714
O 0.250 0.250 0.250
O 0.286 0.286 0.714
Sn 0.625 0.625 0.125
O 0.536 0.964 0.964
Tb 0.125 0.125 0.625
O 0.964 0.536 0.536
O 0.714 0.714 0.286
Tb 0.125 0.125 0.125
O 0.536 0.964 0.536
O 0.286 0.714 0.286
Sn 0.625 0.625 0.625
O 0.964 0.536 0.964
Sn 0.125 0.625 0.625
Tb 0.125 0.625 0.125
Sn 0.625 0.125 0.625
Tb 0.625 0.125 0.125
O 0.000 0.000 0.000
O 0.964 0.964 0.536
O 0.536 0.536 0.964

Results
Its formation energy (no corrections) is -2.64 eV/atom. Its crystal system is cubic.

4.
The following is a PBEsol calculation of a relaxed SnS2I crystal, from Alexandria.

Cell: 6.483 6.483 6.483 Å, 109.45 109.48 109.48°
Fractional positions:
S 0.569 0.375 0.444
Sn 0.500 0.250 0.750
Sn 0.000 0.500 0.500
I 0.500 0.750 0.250
S 0.931 0.556 0.125
S 0.431 0.875 0.806
S 0.069 0.194 0.625
I 0.000 0.000 0.000

Results
Its energy above the most stable polymorph in this dataset is 0.00 eV/f.u. Its formation energy (no corrections) is 0.08 eV/atom. Its crystal system is tetragonal.